No. 1
A relaxed structure of RbCd3Au, computed with GGA-PBE.

Cell: 5.4262 5.4262 5.4262 Å, 90.00 90.00 90.00°
Atoms (fractional coordinates):
1 Cd 0.0000 0.0000 0.5000
2 Cd 0.5000 0.0000 0.0000
3 Cd 0.0000 0.5000 0.0000
4 Au 0.0000 0.0000 0.0000
5 Rb 0.5000 0.5000 0.5000

Computed properties:
The value obtained for the density of states at the Fermi level is 1.69 states/eV/f.u. The calculation puts the formation enthalpy at 0 K at -0.118 eV/atom. The calculation puts the total energy at -1.516 eV per atom. The energy above the lowest structure with this stoichiometry is 41 meV per atom.

No. 2
A relaxed structure of Rb2Cd2Au, computed with GGA-PBE.

Cell: 7.1087 7.1087 6.4994 Å, 56.85 56.85 90.00°
Atoms (fractional coordinates):
1 Cd 0.6700 0.6700 0.6599
2 Cd 0.3300 0.3300 0.3401
3 Au 0.0000 0.0000 0.0000
4 Rb 0.2500 0.7500 0.5000
5 Rb 0.7500 0.2500 0.5000

Computed properties:
The value obtained for the density of states at the Fermi level is 2.48 states/eV/f.u. The calculation puts the formation enthalpy at 0 K at -0.030 eV/atom. The calculation puts the total energy at -1.438 eV per atom. The energy above the lowest structure with this stoichiometry is 116 meV per atom.

No. 3
A relaxed structure of Rb4CdAu4, computed with GGA-PBE.

Cell: 7.2589 8.8678 7.2589 Å, 65.84 90.00 114.16°
Atoms (fractional coordinates):
1 Cd 0.0000 0.0000 0.0000
2 Au 0.6573 0.7693 0.3427
3 Au 0.8881 0.2307 0.6573
4 Au 0.1119 0.7693 0.8881
5 Au 0.3427 0.2307 0.1119
6 Rb 0.1440 0.7218 0.4221
7 Rb 0.4221 0.2782 0.5779
8 Rb 0.5779 0.7218 0.8560
9 Rb 0.8560 0.2782 0.1440

Computed properties:
The value obtained for the density of states at the Fermi level is 0.23 states/eV/f.u. The calculation puts the formation enthalpy at 0 K at -0.216 eV/atom. The calculation puts the total energy at -2.205 eV per atom.

No. 4
A relaxed structure of Rb5Cd2Au5, computed with GGA-PBE.

Cell: 4.9588 7.8773 12.7335 Å, 103.54 90.00 108.35°
Atoms (fractional coordinates):
1 Au 0.9035 0.8069 0.6357
2 Au 0.6492 0.2984 0.7868
3 Au 0.0965 0.1931 0.3643
4 Au 0.0000 0.0000 0.0000
5 Au 0.3508 0.7016 0.2132
6 Rb 0.2382 0.4764 0.6336
7 Rb 0.3417 0.6834 0.9343
8 Rb 0.6583 0.3166 0.0657
9 Rb 0.5000 0.0000 0.5000
10 Rb 0.7618 0.5236 0.3664
11 Cd 0.0660 0.1320 0.8117
12 Cd 0.9340 0.8680 0.1883

Computed properties:
The value obtained for the density of states at the Fermi level is 2.54 states/eV/f.u. The calculation puts the formation enthalpy at 0 K at -0.207 eV/atom. The calculation puts the total energy at -2.128 eV per atom. The energy above the lowest structure with this stoichiometry is 34 meV per atom.

No. 5
A relaxed structure of Rb2Cd2Au, computed with GGA-PBE.

Cell: 7.6083 7.6083 6.0508 Å, 90.00 90.00 90.00°
Atoms (fractional coordinates):
1 Cd 0.6404 0.1404 0.0000
2 Cd 0.8596 0.6404 0.0000
3 Cd 0.3596 0.8596 0.0000
4 Cd 0.1404 0.3596 0.0000
5 Rb 0.8170 0.3170 0.5000
6 Rb 0.6830 0.8170 0.5000
7 Rb 0.1830 0.6830 0.5000
8 Rb 0.3170 0.1830 0.5000
9 Au 0.0000 0.0000 0.0000
10 Au 0.5000 0.5000 0.0000

Computed properties:
The value obtained for the density of states at the Fermi level is 2.06 states/eV/f.u. The calculation puts the formation enthalpy at 0 K at -0.081 eV/atom. The calculation puts the total energy at -1.489 eV per atom. The energy above the lowest structure with this stoichiometry is 65 meV per atom.

No. 6
A relaxed structure of Rb8Cd2Au, computed with GGA-PBE.

Cell: 5.6501 9.8728 12.8103 Å, 92.80 102.74 90.00°
Atoms (fractional coordinates):
1 Rb 0.0087 0.7872 0.0174
2 Rb 0.6419 0.9860 0.2838
3 Rb 0.2232 0.3181 0.4465
4 Rb 0.4011 0.5049 0.8022
5 Rb 0.5989 0.4951 0.1978
6 Rb 0.9913 0.2128 0.9826
7 Rb 0.3581 0.0140 0.7162
8 Rb 0.7768 0.6819 0.5535
9 Au 0.5000 0.0000 0.0000
10 Cd 0.8290 0.2913 0.6580
11 Cd 0.1710 0.7087 0.3420

Computed properties:
The value obtained for the density of states at the Fermi level is 5.79 states/eV/f.u. The calculation puts the formation enthalpy at 0 K at -0.044 eV/atom. The calculation puts the total energy at -1.212 eV per atom. The energy above the lowest structure with this stoichiometry is 4 meV per atom.

No. 7
A relaxed structure of RbCdAu3, computed with GGA-PBE.

Cell: 5.3716 5.3716 5.3716 Å, 90.00 90.00 90.00°
Atoms (fractional coordinates):
1 Au 0.0000 0.0000 0.5000
2 Au 0.5000 0.0000 0.0000
3 Au 0.0000 0.5000 0.0000
4 Cd 0.0000 0.0000 0.0000
5 Rb 0.5000 0.5000 0.5000

Computed properties:
The value obtained for the density of states at the Fermi level is 1.22 states/eV/f.u. The calculation puts the formation enthalpy at 0 K at 0.029 eV/atom. The calculation puts the total energy at -2.314 eV per atom. The energy above the lowest structure with this stoichiometry is 235 meV per atom.

No. 8
A relaxed structure of Rb2Cd3Au4, computed with GGA-PBE.

Cell: 6.6110 8.3046 9.2218 Å, 90.00 111.00 90.00°
Atoms (fractional coordinates):
1 Au 0.3141 0.2500 0.1283
2 Au 0.3200 0.4845 0.6400
3 Au 0.6859 0.7500 0.8717
4 Au 0.1859 0.7500 0.8717
5 Au 0.6800 0.5155 0.3600
6 Au 0.8200 0.0155 0.6400
7 Au 0.1800 0.9845 0.3600
8 Au 0.8141 0.2500 0.1283
9 Cd 0.5000 0.5000 0.0000
10 Cd 0.0188 0.7500 0.5376
11 Cd 0.4812 0.2500 0.4624
12 Cd 0.0000 0.0000 0.0000
13 Cd 0.9812 0.2500 0.4624
14 Cd 0.5188 0.7500 0.5376
15 Rb 0.1032 0.5914 0.2064
16 Rb 0.6032 0.9086 0.2064
17 Rb 0.8968 0.4086 0.7936
18 Rb 0.3968 0.0914 0.7936

Computed properties:
The value obtained for the density of states at the Fermi level is 3.86 states/eV/f.u. The calculation puts the formation enthalpy at 0 K at -0.172 eV/atom. The calculation puts the total energy at -2.149 eV per atom. The energy above the lowest structure with this stoichiometry is 0 meV per atom.

No. 9
A relaxed structure of RbCd2Au, computed with GGA-PBE.

Cell: 5.4499 5.4499 5.4499 Å, 60.00 60.00 60.00°
Atoms (fractional coordinates):
1 Cd 0.7500 0.7500 0.7500
2 Cd 0.2500 0.2500 0.2500
3 Au 0.5000 0.5000 0.5000
4 Rb 0.0000 0.0000 0.0000

Computed properties:
The value obtained for the density of states at the Fermi level is 1.18 states/eV/f.u. The calculation puts the formation enthalpy at 0 K at 0.050 eV/atom. The calculation puts the total energy at -1.469 eV per atom. The energy above the lowest structure with this stoichiometry is 254 meV per atom.

No. 10
A relaxed structure of Rb2Cd3Au, computed with GGA-PBE.

Cell: 5.0324 6.3077 8.2451 Å, 112.49 107.77 90.00°
Atoms (fractional coordinates):
1 Cd 0.5997 0.5997 0.1993
2 Cd 0.4003 0.4003 0.8007
3 Cd 0.0000 0.0000 0.0000
4 Au 0.0000 0.5000 0.0000
5 Rb 0.2874 0.7874 0.5747
6 Rb 0.7126 0.2126 0.4253

Computed properties:
The value obtained for the density of states at the Fermi level is 3.90 states/eV/f.u. The calculation puts the formation enthalpy at 0 K at 0.020 eV/atom. The calculation puts the total energy at -1.307 eV per atom. The energy above the lowest structure with this stoichiometry is 144 meV per atom.

No. 11
A relaxed structure of Rb5Cd2Au5, computed with GGA-PBE.

Cell: 4.7015 9.0121 10.9885 Å, 81.59 77.65 74.88°
Atoms (fractional coordinates):
1 Cd 0.3931 0.4410 0.7728
2 Cd 0.6069 0.5590 0.2272
3 Rb 0.3662 0.9418 0.3257
4 Rb 0.3129 0.2800 0.0941
5 Rb 0.6338 0.0582 0.6743
6 Rb 0.0000 0.5000 0.5000
7 Rb 0.6871 0.7200 0.9059
8 Au 0.0000 0.0000 0.0000
9 Au 0.6914 0.2565 0.3607
10 Au 0.0593 0.7251 0.1562
11 Au 0.3086 0.7435 0.6393
12 Au 0.9407 0.2749 0.8438

Computed properties:
The value obtained for the density of states at the Fermi level is 1.36 states/eV/f.u. The calculation puts the formation enthalpy at 0 K at -0.241 eV/atom. The calculation puts the total energy at -2.162 eV per atom. The energy above the lowest structure with this stoichiometry is 0 meV per atom.

No. 12
A relaxed structure of RbCd3Au2, computed with GGA-PBE.

Cell: 6.0105 7.4620 7.4620 Å, 103.72 90.00 90.00°
Atoms (fractional coordinates):
1 Rb 0.7500 0.6487 0.6487
2 Rb 0.2500 0.3513 0.3513
3 Cd 0.7500 0.0703 0.4695
4 Cd 0.7500 0.0667 0.0667
5 Cd 0.2500 0.9333 0.9333
6 Cd 0.2500 0.9297 0.5305
7 Cd 0.2500 0.5305 0.9297
8 Cd 0.7500 0.4695 0.0703
9 Au 0.5000 0.7947 0.2053
10 Au 0.0000 0.7947 0.2053
11 Au 0.0000 0.2053 0.7947
12 Au 0.5000 0.2053 0.7947

Computed properties:
The value obtained for the density of states at the Fermi level is 2.35 states/eV/f.u. The calculation puts the formation enthalpy at 0 K at -0.203 eV/atom. The calculation puts the total energy at -1.915 eV per atom.

- The lowest formation enthalpy at 0 K belongs to which entry?
  number 11

Repeat the tenth record exactly.
A relaxed structure of Rb2Cd3Au, computed with GGA-PBE.

Cell: 5.0324 6.3077 8.2451 Å, 112.49 107.77 90.00°
Atoms (fractional coordinates):
1 Cd 0.5997 0.5997 0.1993
2 Cd 0.4003 0.4003 0.8007
3 Cd 0.0000 0.0000 0.0000
4 Au 0.0000 0.5000 0.0000
5 Rb 0.2874 0.7874 0.5747
6 Rb 0.7126 0.2126 0.4253

Computed properties:
The value obtained for the density of states at the Fermi level is 3.90 states/eV/f.u. The calculation puts the formation enthalpy at 0 K at 0.020 eV/atom. The calculation puts the total energy at -1.307 eV per atom. The energy above the lowest structure with this stoichiometry is 144 meV per atom.

- Among the records above, which one has the highest formation enthalpy at 0 K?
  RbCd2Au

- Which of these has the lowest formation enthalpy at 0 K?
  number 11